(A)
Sr3TaGa, optimized geometry, DFT GGA-PBEsol; symmetry = No. 221
1.0
5.7923 0.0000 0.0000
0.0000 5.7923 0.0000
0.0000 0.0000 5.7923
Sr Ga Ta
3 1 1
Direct
0.0000 0.5000 0.0000 Sr
0.0000 0.0000 0.5000 Sr
0.5000 0.0000 0.0000 Sr
0.5000 0.5000 0.5000 Ga
0.0000 0.0000 0.0000 Ta



(B)
Sr3TaGa, optimized geometry, DFT GGA-PBEsol; symmetry = No. 221
1.0
5.8822 0.0000 0.0000
0.0000 5.8822 0.0000
0.0000 0.0000 5.8822
Sr Ga Ta
3 1 1
Direct
0.0000 0.5000 0.0000 Sr
0.0000 0.0000 0.5000 Sr
0.5000 0.0000 0.0000 Sr
0.0000 0.0000 0.0000 Ga
0.5000 0.5000 0.5000 Ta



Which one sits at the bottom of the stability order? (A) does.



(A)
LiGdO2, optimized geometry, DFT GGA-PBEsol; symmetry = No. 62
1.0
3.4055 0.0000 0.0000
0.0000 5.2906 0.0000
0.0000 0.0000 11.2818
Li Gd O
4 4 8
Direct
0.7500 0.4027 0.0661 Li
0.2500 0.9027 0.4339 Li
0.7500 0.0973 0.5661 Li
0.2500 0.5973 0.9339 Li
0.2500 0.5478 0.6401 Gd
0.7500 0.4522 0.3599 Gd
0.7500 0.0478 0.8599 Gd
0.2500 0.9522 0.1401 Gd
0.2500 0.2441 0.9744 O
0.2500 0.2559 0.4744 O
0.7500 0.7559 0.0256 O
0.7500 0.7441 0.5256 O
0.2500 0.8051 0.7966 O
0.7500 0.1949 0.2034 O
0.7500 0.3051 0.7034 O
0.2500 0.6949 0.2966 O



(B)
LiGdO2, optimized geometry, DFT GGA-PBEsol; symmetry = No. 141
1.0
4.4642 0.0000 0.0000
0.0000 4.4642 0.0000
-2.2321 -2.2321 5.3163
Li Gd O
2 2 4
Direct
0.5000 0.5000 0.0000 Li
0.7500 0.2500 0.5000 Li
0.0000 0.0000 0.0000 Gd
0.2500 0.7500 0.5000 Gd
0.2200 0.2200 0.4400 O
0.7800 0.7800 0.5600 O
0.0300 0.5300 0.0600 O
0.4700 0.9700 0.9400 O



(C)
LiGdO2, optimized geometry, DFT GGA-PBEsol; symmetry = No. 14
1.0
6.0940 0.0000 0.0000
0.0000 6.3092 -0.0086
0.0000 3.0800 5.5549
Li Gd O
4 4 8
Direct
0.8401 0.2773 0.4191 Li
0.3401 0.2227 0.0809 Li
0.6599 0.7773 0.9191 Li
0.1599 0.7227 0.5809 Li
0.1328 0.7421 0.0295 Gd
0.3672 0.2421 0.5295 Gd
0.6328 0.7579 0.4705 Gd
0.8672 0.2579 0.9705 Gd
0.8163 0.8452 0.1342 O
0.6837 0.3452 0.6342 O
0.1066 0.3142 0.2360 O
0.6066 0.1858 0.2640 O
0.3934 0.8142 0.7360 O
0.8934 0.6858 0.7640 O
0.3163 0.6548 0.3658 O
0.1837 0.1548 0.8658 O



Which one sits at the bottom of the stability order? (B) does.



(A)
Na5GdO4, optimized geometry, DFT GGA-PBEsol; symmetry = No. 31
1.0
-4.9581 -1.7183 3.0556
-2.7886 -1.2211 -5.2116
2.8924 -7.8339 0.2879
Na Gd O
10 2 8
Direct
0.0484 0.9069 0.3122 Na
0.0484 0.9069 0.6878 Na
0.2322 0.4061 0.6878 Na
0.2322 0.4061 0.3122 Na
0.2788 0.6585 0.0000 Na
0.5484 0.0931 0.8122 Na
0.5484 0.0931 0.1878 Na
0.7322 0.5939 0.8122 Na
0.7322 0.5939 0.1878 Na
0.7788 0.3415 0.5000 Na
0.0126 0.1580 0.0000 Gd
0.5126 0.8420 0.5000 Gd
0.3489 0.2704 0.0000 O
0.4232 0.1904 0.5000 O
0.3916 0.7449 0.2652 O
0.3916 0.7449 0.7348 O
0.8489 0.7296 0.5000 O
0.9232 0.8096 0.0000 O
0.8916 0.2551 0.7652 O
0.8916 0.2551 0.2348 O



(B)
Na5GdO4, optimized geometry, DFT GGA-PBEsol; symmetry = No. 59
1.0
-1.4692 2.8295 -4.5060
-7.0709 -2.4075 0.7937
-1.6264 6.2443 4.4513
Na Gd O
10 2 8
Direct
0.2540 0.7597 0.8085 Na
0.2540 0.2403 0.8085 Na
0.7876 0.5000 0.0000 Na
0.2540 0.2403 0.1915 Na
0.2540 0.7597 0.1915 Na
0.7460 0.2597 0.3085 Na
0.7460 0.7403 0.3085 Na
0.2124 0.0000 0.5000 Na
0.7460 0.2597 0.6915 Na
0.7460 0.7403 0.6915 Na
0.7805 0.0000 0.0000 Gd
0.2195 0.5000 0.5000 Gd
0.9894 0.0000 0.7648 O
0.5681 0.2386 0.0000 O
0.5681 0.7614 0.0000 O
0.9894 0.0000 0.2352 O
0.0106 0.5000 0.2648 O
0.4319 0.2614 0.5000 O
0.4319 0.7386 0.5000 O
0.0106 0.5000 0.7352 O



Which one sits at the bottom of the stability order? (A) does.



(A)
Gd3TaO7, optimized geometry, DFT GGA-PBEsol; symmetry = No. 20
1.0
-2.6518 -1.3876 -5.7599
-0.0636 -5.3338 3.6986
-6.7448 1.9140 2.6442
Gd Ta O
6 2 14
Direct
0.4643 0.0011 0.2585 Gd
0.9989 0.5357 0.2415 Gd
0.4693 0.4693 0.0000 Gd
0.5307 0.5307 0.5000 Gd
0.5357 0.9989 0.7585 Gd
0.0011 0.4643 0.7415 Gd
0.0012 0.0012 0.5000 Ta
0.9988 0.9988 0.0000 Ta
0.9351 0.0649 0.7500 O
0.6381 0.3619 0.7500 O
0.3076 0.0520 0.5426 O
0.9480 0.6924 0.9574 O
0.6287 0.3713 0.2500 O
0.9178 0.6733 0.5240 O
0.3267 0.0822 0.9760 O
0.0822 0.3267 0.0240 O
0.6733 0.9178 0.4760 O
0.3713 0.6287 0.7500 O
0.6924 0.9480 0.0426 O
0.0520 0.3076 0.4574 O
0.3619 0.6381 0.2500 O
0.0649 0.9351 0.2500 O



(B)
Gd3TaO7, optimized geometry, DFT GGA-PBEsol; symmetry = No. 63
1.0
6.4566 -0.0172 0.0000
-2.3018 6.0324 0.0000
0.0000 0.0000 7.5187
Gd Ta O
6 2 14
Direct
0.0634 0.5198 0.7500 Gd
0.4802 0.9366 0.2500 Gd
0.0000 0.0000 0.0000 Gd
0.0000 0.0000 0.5000 Gd
0.5198 0.0634 0.7500 Gd
0.9366 0.4802 0.2500 Gd
0.5000 0.5000 0.0000 Ta
0.5000 0.5000 0.5000 Ta
0.1538 0.8912 0.7500 O
0.1088 0.8462 0.2500 O
0.5637 0.8209 0.9638 O
0.1791 0.4363 0.0362 O
0.5637 0.8209 0.5362 O
0.1791 0.4363 0.4638 O
0.5770 0.5770 0.2500 O
0.4230 0.4230 0.7500 O
0.4363 0.1791 0.4638 O
0.8209 0.5637 0.9638 O
0.4363 0.1791 0.0362 O
0.8209 0.5637 0.5362 O
0.8912 0.1538 0.7500 O
0.8462 0.1088 0.2500 O



Which one sits at the bottom of the stability order? (B) does.



(A)
Gd2W2O9, optimized geometry, DFT GGA-PBEsol; symmetry = No. 2
1.0
-4.9902 4.1130 1.8320
-5.3262 -4.2455 -1.7355
-1.9830 -3.8598 5.9011
Gd W O
4 4 18
Direct
0.1485 0.2631 0.1582 Gd
0.6147 0.2855 0.3811 Gd
0.3853 0.7145 0.6189 Gd
0.8515 0.7369 0.8418 Gd
0.2717 0.7358 0.0534 W
0.8411 0.7929 0.3651 W
0.1589 0.2071 0.6349 W
0.7283 0.2642 0.9466 W
0.4960 0.2412 0.0961 O
0.8511 0.0688 0.2164 O
0.8157 0.4312 0.0904 O
0.3274 0.5092 0.2528 O
0.9678 0.7386 0.1417 O
0.2645 0.9427 0.1492 O
0.3172 0.0897 0.4591 O
0.6369 0.6417 0.3739 O
0.9613 0.3025 0.4671 O
0.0387 0.6975 0.5329 O
0.3631 0.3583 0.6261 O
0.6828 0.9103 0.5409 O
0.7355 0.0573 0.8508 O
0.0322 0.2614 0.8583 O
0.6726 0.4908 0.7472 O
0.1843 0.5688 0.9096 O
0.1489 0.9312 0.7836 O
0.5040 0.7588 0.9039 O



(B)
Gd2W2O9, optimized geometry, DFT GGA-PBEsol; symmetry = No. 20
1.0
-4.7622 -4.1518 -3.3201
4.8013 1.1726 -8.3531
3.9022 -7.8328 4.1978
Gd W O
8 8 36
Direct
0.4996 0.1228 0.4099 Gd
0.5004 0.4099 0.1228 Gd
0.2500 0.7732 0.2268 Gd
0.7500 0.7734 0.2266 Gd
0.2500 0.2266 0.7734 Gd
0.7500 0.2268 0.7732 Gd
0.0004 0.5901 0.8772 Gd
0.9996 0.8772 0.5901 Gd
0.0000 0.9528 0.9528 W
0.9997 0.1482 0.3939 W
0.0003 0.3939 0.1482 W
0.2500 0.4999 0.5001 W
0.7500 0.5001 0.4999 W
0.5003 0.6061 0.8518 W
0.4997 0.8518 0.6061 W
0.5000 0.0472 0.0472 W
0.2024 0.3295 0.0320 O
0.7976 0.0320 0.3295 O
0.5000 0.2004 0.2004 O
0.7981 0.3296 0.0320 O
0.2019 0.0320 0.3296 O
0.0000 0.2289 0.2289 O
0.9997 0.1126 0.5773 O
0.0003 0.5773 0.1126 O
0.1886 0.3042 0.4768 O
0.8114 0.4768 0.3042 O
0.8114 0.3043 0.4767 O
0.1886 0.4767 0.3043 O
0.5001 0.6321 0.2087 O
0.4999 0.2087 0.6321 O
0.5000 0.4417 0.4417 O
0.9998 0.0888 0.8487 O
0.0002 0.8487 0.0888 O
0.7500 0.9999 0.0001 O
0.2500 0.0001 0.9999 O
0.5002 0.1513 0.9112 O
0.4998 0.9112 0.1513 O
0.0000 0.5583 0.5583 O
0.0001 0.3679 0.7913 O
0.9999 0.7913 0.3679 O
0.6886 0.5233 0.6957 O
0.3114 0.6957 0.5233 O
0.3114 0.5232 0.6958 O
0.6886 0.6958 0.5232 O
0.4997 0.8874 0.4227 O
0.5003 0.4227 0.8874 O
0.5000 0.7711 0.7711 O
0.7019 0.9680 0.6704 O
0.2981 0.6704 0.9680 O
0.0000 0.7996 0.7996 O
0.2976 0.9680 0.6705 O
0.7024 0.6705 0.9680 O



Which one sits at the bottom of the stability order? (B) does.



(A)
Ge, optimized geometry, DFT GGA-PBEsol; symmetry = No. 194
1.0
3.9905 0.0000 0.0000
-1.9952 3.4558 0.0000
0.0000 0.0000 6.5765
Ge
4
Direct
0.3333 0.6667 0.4372 Ge
0.6667 0.3333 0.9372 Ge
0.3333 0.6667 0.0628 Ge
0.6667 0.3333 0.5628 Ge



(B)
Ge, optimized geometry, DFT GGA-PBEsol; symmetry = No. 227
1.0
-1.6454 -3.4013 1.3251
1.4066 -1.7445 3.3181
-2.1927 0.0091 3.3502
Ge
2
Direct
0.0000 0.0000 0.0000 Ge
0.2500 0.2500 0.2500 Ge



Which one sits at the bottom of the stability order? (A) does.